(1)
AlIn3Mo | PBE-GGA | relaxed

The space group is Pm-3m (No. 221) and the conventional cell measures 5.242, 5.242 and 5.242 Å, with angles of 90.00, 90.00 and 90.00 degrees. The distinct sites, in fractional coordinates, are Al at (0.000, 0.000, 0.000), In at (0.000, 0.000, 0.500) and Mo at (0.500, 0.500, 0.500).

Its formation energy is 1116 meV per atom. Its energy above the most stable polymorph in this dataset is 0.436 eV/atom.

=====

(2)
AlInMo2 | PBE-GGA | relaxed

The space group is Cm (No. 8) and the conventional cell measures 9.568, 2.839 and 5.046 Å, with angles of 90.00, 98.11 and 90.00 degrees. The distinct sites, in fractional coordinates, are Al at (0.000, 0.000, 0.000), In at (0.246, 0.000, 0.741), Mo at (0.243, 0.500, 0.237) and Mo at (0.493, 0.000, 0.485).

Its formation energy is 236 meV per atom. Its energy above the most stable polymorph in this dataset is 0.214 eV/atom.

=====

(3)
AlIn3Mo | PBE-GGA | relaxed

The space group is Pm-3m (No. 221) and the conventional cell measures 5.299, 5.299 and 5.299 Å, with angles of 90.00, 90.00 and 90.00 degrees. The distinct sites, in fractional coordinates, are Al at (0.000, 0.000, 0.000), In at (0.000, 0.500, 0.500) and Mo at (0.500, 0.500, 0.500).

Its formation energy is 680 meV per atom. Its energy above the most stable polymorph in this dataset is 0.000 eV/atom.

=====

(4)
AlIn4Mo | PBE-GGA | relaxed

The space group is F-43m (No. 216) and the conventional cell measures 8.091, 8.091 and 8.091 Å, with angles of 90.00, 90.00 and 90.00 degrees. The distinct sites, in fractional coordinates, are Al at (0.000, 0.000, 0.000), In at (0.125, 0.125, 0.625) and Mo at (0.250, 0.250, 0.250).

Its formation energy is 667 meV per atom.